(1)
A geometry-optimized CaPtO structure, computed with PBE.

```
CaPtO
1.0
-1.1665 1.7165 -3.6777
-4.4080 -5.1897 2.3883
-2.4051 1.1337 3.2841
Ca Pt O
2 2 2
direct
0.2717 0.6047 0.3936 Ca
0.5898 0.2424 0.0756 Ca
0.7285 0.9235 0.9374 Pt
0.0762 0.9234 0.5893 Pt
0.8992 0.5885 0.7662 O
0.2333 0.2583 0.4321 O
```

Values from the calculation:
Its crystal system is monoclinic. Its total energy is -5.86 eV per atom. The calculation puts the formation energy from raw total energies at -1.524 eV per atom. For the density of states at the Fermi level, the calculation gives 0.0 states/eV/cell. The magnetic moment is 0.00 μB/cell. The space group is Cm, No. 8.

***

(2)
A geometry-optimized Ca6Pt2O structure, computed with PBE.

```
Ca6Pt2O
1.0
6.5776 0.0000 -0.0187
0.0000 7.5187 0.0000
0.2862 0.0000 9.3921
Pt Ca O
4 12 2
direct
0.4621 0.1079 0.7485 Pt
0.0379 0.6079 0.7515 Pt
0.9621 0.3921 0.2485 Pt
0.5379 0.8921 0.2515 Pt
0.1194 0.0356 0.2599 Ca
0.8440 0.6963 0.4397 Ca
0.1560 0.3037 0.5603 Ca
0.6194 0.4644 0.7599 Ca
0.3440 0.8037 0.9397 Ca
0.8076 0.6597 0.0569 Ca
0.6560 0.1963 0.0603 Ca
0.6924 0.1597 0.4431 Ca
0.3806 0.5356 0.2401 Ca
0.1924 0.3403 0.9431 Ca
0.8806 0.9644 0.7401 Ca
0.3076 0.8403 0.5569 Ca
0.0000 0.0000 0.5000 O
0.5000 0.5000 0.0000 O
```

Values from the calculation:
Its crystal system is monoclinic. Its total energy is -4.38 eV per atom. The calculation puts the formation energy from raw total energies at -1.153 eV per atom. For the density of states at the Fermi level, the calculation gives 5.8 states/eV/cell. The magnetic moment is 0.00 μB/cell. The space group is P2_1/c, No. 14.

***

(3)
A geometry-optimized CaPtO structure, computed with PBE.

```
CaPtO
1.0
4.0167 0.0000 0.0000
0.0000 8.1862 0.0000
0.0000 0.0000 7.7862
Ca Pt O
4 4 4
direct
0.2500 0.7499 0.5002 Ca
0.2500 0.7501 0.0002 Ca
0.7500 0.2499 0.9998 Ca
0.7500 0.2501 0.4998 Ca
0.2500 0.3737 0.7499 Pt
0.7500 0.8737 0.7501 Pt
0.7500 0.6263 0.2501 Pt
0.2500 0.1263 0.2499 Pt
0.7500 0.3915 0.2497 O
0.7500 0.1085 0.7497 O
0.2500 0.6085 0.7503 O
0.2500 0.8915 0.2503 O
```

Values from the calculation:
Its crystal system is orthorhombic. Its total energy is -5.30 eV per atom. The calculation puts the formation energy from raw total energies at -0.962 eV per atom. For the density of states at the Fermi level, the calculation gives 1.1 states/eV/cell. The magnetic moment is 0.00 μB/cell. The space group is Cmcm, No. 63.

***

(4)
A geometry-optimized CaPtO structure, computed with PBE.

```
CaPtO
1.0
-4.2133 -3.4590 3.3857
1.7301 -4.1675 1.0542
1.3300 1.3092 2.9928
Ca O Pt
2 2 2
direct
0.4144 0.8044 0.0710 Ca
0.7440 0.1401 0.5710 Ca
0.6823 0.6710 0.5711 O
0.4761 0.2736 0.0711 O
0.2282 0.3976 0.5710 Pt
0.9302 0.5469 0.0710 Pt
```

Values from the calculation:
Its crystal system is monoclinic. Its total energy is -5.95 eV per atom. The calculation puts the formation energy from raw total energies at -1.614 eV per atom. For the density of states at the Fermi level, the calculation gives 0.0 states/eV/cell. The magnetic moment is 0.00 μB/cell. The space group is P2_1/m, No. 11.

***

(5)
A geometry-optimized CaPt2O6 structure, computed with PBE.

```
CaPt2O6
1.0
-2.9387 1.1052 -3.8659
3.7013 -1.8033 -3.3291
-3.7027 -3.2878 1.8747
O Pt Ca
6 2 1
direct
0.7158 0.0000 0.3632 O
0.7158 0.6368 0.6368 O
0.2842 0.3632 0.3632 O
0.2842 0.6368 0.0000 O
0.7158 0.3632 0.0000 O
0.2842 0.0000 0.6368 O
0.5000 0.3333 0.6667 Pt
0.5000 0.6667 0.3333 Pt
0.0000 0.0000 0.0000 Ca
```

Values from the calculation:
Its crystal system is trigonal. Its total energy is -5.88 eV per atom. The calculation puts the formation energy from raw total energies at -1.013 eV per atom. For the density of states at the Fermi level, the calculation gives 6.7 states/eV/cell. The magnetic moment is 1.98 μB/cell. The space group is P-31m, No. 162.

***

(6)
A geometry-optimized CaPtO structure, computed with PBE.

```
CaPtO
1.0
-1.8103 -4.5678 1.1051
4.5185 -2.1592 -0.9299
3.7114 -6.2283 3.8816
Pt Ca O
2 2 2
direct
0.6666 0.7642 0.1902 Pt
0.0338 0.1252 0.1901 Pt
0.6273 0.1623 0.6904 Ca
0.0696 0.7210 0.6900 Ca
0.1193 0.1991 0.6902 O
0.3169 0.4117 0.1908 O
```

Values from the calculation:
Its crystal system is monoclinic. Its total energy is -5.80 eV per atom. The calculation puts the formation energy from raw total energies at -1.468 eV per atom. For the density of states at the Fermi level, the calculation gives 0.0 states/eV/cell. The magnetic moment is 0.00 μB/cell. The space group is Pm, No. 6.

***

(7)
A geometry-optimized CaPtO2 structure, computed with PBE.

```
CaPtO2
1.0
-5.7551 -1.6763 0.4445
-3.7861 -4.6674 0.1015
-4.0185 -3.0231 3.2926
Ca O Pt
1 2 1
direct
0.0000 0.0000 0.0000 Ca
0.1279 0.1279 0.1279 O
0.8721 0.8721 0.8721 O
0.5000 0.5000 0.5000 Pt
```

Values from the calculation:
Its crystal system is trigonal. Its total energy is -5.22 eV per atom. The calculation puts the formation energy from raw total energies at -0.731 eV per atom. For the density of states at the Fermi level, the calculation gives 0.3 states/eV/cell. The magnetic moment is 0.00 μB/cell. The space group is R-3m, No. 166.

***

(8)
A geometry-optimized CaPt3O4 structure, computed with PBE.

```
CaPt3O4
1.0
5.8718 0.0000 0.0000
0.0000 5.8718 0.0000
0.0000 0.0000 5.8718
O Pt Ca
8 6 2
direct
0.7500 0.2500 0.7500 O
0.2500 0.2500 0.2500 O
0.2500 0.7500 0.7500 O
0.7500 0.7500 0.7500 O
0.7500 0.7500 0.2500 O
0.7500 0.2500 0.2500 O
0.2500 0.7500 0.2500 O
0.2500 0.2500 0.7500 O
0.2500 0.0000 0.5000 Pt
0.0000 0.5000 0.2500 Pt
0.7500 0.0000 0.5000 Pt
0.0000 0.5000 0.7500 Pt
0.5000 0.2500 0.0000 Pt
0.5000 0.7500 0.0000 Pt
0.0000 0.0000 0.0000 Ca
0.5000 0.5000 0.5000 Ca
```

Values from the calculation:
Its crystal system is cubic. Its total energy is -6.05 eV per atom. The calculation puts the formation energy from raw total energies at -1.060 eV per atom. For the density of states at the Fermi level, the calculation gives 3.1 states/eV/cell. The magnetic moment is 0.00 μB/cell. The space group is Pm-3n, No. 223.